# 1
Compound: Nb13Sn3
Source: the Alexandria database
Functional: PBE-GGA
Structure: optimized geometry

Computed properties:
spin magnetization: 0.000 μB/f.u.
ΔH_f (0 K): -0.05 eV per atom
Fermi-level density of states: 15.9 states/eV/f.u.

Cell and atoms, written as CIF:
```
data_Nb13Sn3
_chemical_formula_sum 'Nb26 Sn6'
_space_group_name_H-M_alt 'A m m 2'
_space_group_IT_number 38
_cell_length_a 6.913
_cell_length_b 9.204
_cell_length_c 9.556
_cell_angle_alpha 90.00
_cell_angle_beta 90.00
_cell_angle_gamma 90.00
loop_
_space_group_symop_operation_xyz
'x,y,z'
'-x,-y,z'
'-x,y,z'
'x,-y,z'
'x,y+1/2,z+1/2'
'-x,-y+1/2,z+1/2'
'-x,y+1/2,z+1/2'
'x,-y+1/2,z+1/2'
loop_
_atom_site_label
_atom_site_type_symbol
_atom_site_fract_x
_atom_site_fract_y
_atom_site_fract_z
Nb1 Nb 0.000 0.000 0.000
Nb2 Nb 0.000 0.000 0.510
Nb3 Nb 0.000 0.241 0.751
Nb4 Nb 0.245 0.000 0.751
Nb5 Nb 0.246 0.246 0.505
Nb6 Nb 0.500 0.000 0.506
Nb7 Nb 0.500 0.242 0.748
Sn1 Sn 0.246 0.000 0.261
Sn2 Sn 0.500 0.000 0.987
```

# 2
Compound: SbPt4Cl
Source: the Alexandria database
Functional: PBE-GGA
Structure: optimized geometry

Computed properties:
DFT total energy: -116.69 eV per cell
spin magnetization: 0.000 μB/f.u.
Fermi-level density of states: 2.3 states/eV/f.u.

Cell and atoms, written as CIF:
```
data_SbPt4Cl
_chemical_formula_sum 'Sb4 Pt16 Cl4'
_space_group_name_H-M_alt 'F -4 3 m'
_space_group_IT_number 216
_space_group_name_Hall 'F -4 2 3'
_cell_length_a 7.631
_cell_length_b 7.631
_cell_length_c 7.631
_cell_angle_alpha 90.00
_cell_angle_beta 90.00
_cell_angle_gamma 90.00
loop_
_atom_site_label
_atom_site_type_symbol
_atom_site_fract_x
_atom_site_fract_y
_atom_site_fract_z
Sb1 Sb 0.000 0.000 0.000
Pt1 Pt 0.125 0.125 0.375
Cl1 Cl 0.250 0.250 0.750
```

# 3
Compound: Rb2AsF
Source: the Alexandria database
Functional: PBE-GGA
Structure: optimized geometry

Computed properties:
relative energy among the computed polymorphs: 227 meV per atom
spin magnetization: 2.000 μB/f.u.
Fermi-level density of states: 1.8 states/eV/f.u.

Cell and atoms, written as CIF:
```
data_Rb2AsF
_chemical_formula_sum 'Rb8 As4 F4'
_space_group_name_H-M_alt 'F m -3 m'
_space_group_IT_number 225
_space_group_name_Hall '-F 4 2 3'
_cell_length_a 8.054
_cell_length_b 8.054
_cell_length_c 8.054
_cell_angle_alpha 90.00
_cell_angle_beta 90.00
_cell_angle_gamma 90.00
loop_
_atom_site_label
_atom_site_type_symbol
_atom_site_fract_x
_atom_site_fract_y
_atom_site_fract_z
Rb1 Rb 0.250 0.250 0.250
As1 As 0.000 0.000 0.000
F1 F 0.000 0.000 0.500
```

# 4
Compound: NaBi2PPd
Source: the Alexandria database
Functional: PBE-GGA
Structure: optimized geometry

Computed properties:
relative energy among the computed polymorphs: 880 meV per atom
spin magnetization: 0.000 μB/f.u.
ΔH_f (0 K): 1.00 eV per atom
Fermi-level density of states: 3.8 states/eV/f.u.

Cell and atoms, written as CIF:
```
data_NaBi2PPd
_chemical_formula_sum 'Na1 Bi2 P1 Pd1'
_space_group_name_H-M_alt 'P 4/m m m'
_space_group_IT_number 123
_space_group_name_Hall '-P 4 2'
_cell_length_a 5.390
_cell_length_b 5.390
_cell_length_c 4.751
_cell_angle_alpha 90.00
_cell_angle_beta 90.00
_cell_angle_gamma 90.00
loop_
_atom_site_label
_atom_site_type_symbol
_atom_site_fract_x
_atom_site_fract_y
_atom_site_fract_z
Na1 Na 0.000 0.000 0.000
Bi1 Bi 0.000 0.500 0.000
P1 P 0.000 0.000 0.500
Pd1 Pd 0.500 0.500 0.500
```

# 5
Compound: Tb4CeEr8
Source: the Alexandria database
Functional: PBE-GGA
Structure: optimized geometry

Computed properties:
spin magnetization: 0.001 μB/f.u.
ΔH_f (0 K): 0.18 eV per atom
Fermi-level density of states: 19.0 states/eV/f.u.

Cell and atoms, written as CIF:
```
data_Tb4CeEr8
_chemical_formula_sum 'Tb12 Ce3 Er24'
_space_group_name_H-M_alt 'R -3 m'
_space_group_IT_number 166
_space_group_name_Hall '-R 3 2"'
_cell_length_a 7.2411
_cell_length_b 7.2411
_cell_length_c 26.5656
_cell_angle_alpha 90.00
_cell_angle_beta 90.00
_cell_angle_gamma 120.00
loop_
_atom_site_label
_atom_site_type_symbol
_atom_site_fract_x
_atom_site_fract_y
_atom_site_fract_z
Tb1 Tb 0.0000 0.0000 0.0000
Tb2 Tb 0.0000 0.5000 0.0000
Ce1 Ce 0.0000 0.0000 0.5000
Er1 Er 0.0000 0.0000 0.2202
Er2 Er 0.0328 0.5164 0.7709
```

# 6
Compound: B3MoAu
Source: the Alexandria database
Functional: PBE-GGA
Structure: optimized geometry

Computed properties:
relative energy among the computed polymorphs: 602 meV per atom
spin magnetization: 2.630 μB/f.u.
ΔH_f (0 K): 2.10 eV per atom
Fermi-level density of states: 3.0 states/eV/f.u.

Cell and atoms, written as CIF:
```
data_B3MoAu
_chemical_formula_sum 'B3 Mo1 Au1'
_space_group_name_H-M_alt 'P m -3 m'
_space_group_IT_number 221
_space_group_name_Hall '-P 4 2 3'
_cell_length_a 4.122
_cell_length_b 4.122
_cell_length_c 4.122
_cell_angle_alpha 90.00
_cell_angle_beta 90.00
_cell_angle_gamma 90.00
loop_
_atom_site_label
_atom_site_type_symbol
_atom_site_fract_x
_atom_site_fract_y
_atom_site_fract_z
B1 B 0.000 0.000 0.500
Mo1 Mo 0.500 0.500 0.500
Au1 Au 0.000 0.000 0.000
```